# 1
PdAuI6 | PBE | optimized geometry

formation energy without anion corrections: -66 meV per atom
offset from the most stable computed form: 0 meV/atom
M_tot: 0.0 Bohr magnetons per cell
space group: C2/m, No. 12
DFT total energy: -2.29 eV per atom

```
PdAuI6
1.0
9.2634 0.0000 0.0000
0.0000 11.4108 0.0000
-0.8098 0.0000 7.8057
Pd Au I
2 2 12
direct
0.0000 0.0000 0.0000
0.5000 0.5000 0.0000
0.0000 0.0000 0.5000
0.5000 0.5000 0.5000
0.0189 0.1616 0.2402
0.0189 0.8384 0.2402
0.1509 0.5000 0.0178
0.3491 0.0000 0.9822
0.4811 0.3384 0.7598
0.4811 0.6616 0.7598
0.5189 0.3384 0.2402
0.5189 0.6616 0.2402
0.6509 0.0000 0.0178
0.8491 0.5000 0.9822
0.9811 0.1616 0.7598
0.9811 0.8384 0.7598
```

=====

# 2
BaZnCdGe2 | PBE | optimized geometry

energy of formation: -350 meV per atom
M_tot: 0.0 Bohr magnetons per cell
space group: I-4m2, No. 119
DFT total energy: -3.02 eV per atom

```
BaZnCdGe2
1.0
4.6842 0.0000 0.0000
0.0000 4.6842 0.0000
0.0000 0.0000 11.0352
Ba Zn Cd Ge
2 2 2 4
direct
0.0000 0.0000 0.0000
0.5000 0.5000 0.5000
0.0000 0.5000 0.2500
0.5000 0.0000 0.7500
0.0000 0.5000 0.7500
0.5000 0.0000 0.2500
0.0000 0.0000 0.3823
0.0000 0.0000 0.6177
0.5000 0.5000 0.1177
0.5000 0.5000 0.8823
```

=====

# 3
ThZrFe10 | PBE | optimized geometry

energy of formation: -61 meV per atom
M_tot: 19.6 Bohr magnetons per cell
space group: Pmmm, No. 47
DFT total energy: -8.44 eV per atom

```
ThZrFe10
1.0
3.9872 0.0000 0.0000
0.0000 4.9591 0.0000
0.0000 0.0000 8.6079
Th Zr Fe
1 1 10
direct
0.0000 0.0000 0.0000
0.0000 0.5000 0.5000
0.0000 0.0000 0.3402
0.0000 0.0000 0.6598
0.0000 0.5000 0.1754
0.0000 0.5000 0.8246
0.5000 0.0000 0.5000
0.5000 0.2535 0.2586
0.5000 0.2535 0.7414
0.5000 0.5000 0.0000
0.5000 0.7465 0.2586
0.5000 0.7465 0.7414
```

=====

# 4
YCuAu | PBE | optimized geometry

energy of formation: -529 meV per atom
M_tot: 0.0 Bohr magnetons per cell
space group: I4mm, No. 107
DFT total energy: -5.14 eV per atom

```
YCuAu
1.0
3.6497 0.0000 0.0000
0.0000 3.6497 0.0000
0.0000 0.0000 8.9167
Y Cu Au
2 2 2
direct
0.0000 0.0000 0.0000
0.5000 0.5000 0.5000
0.0000 0.0000 0.3294
0.5000 0.5000 0.8294
0.0000 0.0000 0.6694
0.5000 0.5000 0.1694
```

=====

Q: What is the M_tot in the fourth record?
A: 0.0 Bohr magnetons per cell

=====

What did the fourth record say?
YCuAu | PBE | optimized geometry

energy of formation: -529 meV per atom
M_tot: 0.0 Bohr magnetons per cell
space group: I4mm, No. 107
DFT total energy: -5.14 eV per atom

```
YCuAu
1.0
3.6497 0.0000 0.0000
0.0000 3.6497 0.0000
0.0000 0.0000 8.9167
Y Cu Au
2 2 2
direct
0.0000 0.0000 0.0000
0.5000 0.5000 0.5000
0.0000 0.0000 0.3294
0.5000 0.5000 0.8294
0.0000 0.0000 0.6694
0.5000 0.5000 0.1694
```